VASP calculation (PBE) on crystalline Tl3GaSn at its relaxed geometry.

a = 5.4618 Å, b = 5.4618 Å, c = 5.4618 Å
α = 90.00°, β = 90.00°, γ = 90.00°
Closest atoms and distances in Å follow each position.
Fractional coordinates of all 5 atoms:
Tl 0.0000 0.5000 0.0000  2 Ga 2.73
Tl 0.0000 0.0000 0.5000  2 Ga 2.73
Tl 0.5000 0.0000 0.0000  2 Ga 2.73
Sn 0.5000 0.5000 0.5000  12 Tl 3.86
Ga 0.0000 0.0000 0.0000  6 Tl 2.73

Calculated values
- Energy relative to the lowest polymorph listed for this composition: 251 meV/atom
- Energy: -2.512 eV/atom


VASP calculation (PBE) on crystalline Tl14GaSn at its relaxed geometry.

a = 6.9778 Å, b = 6.9778 Å, c = 11.0793 Å
α = 90.00°, β = 90.00°, γ = 116.31°
Closest atoms and distances in Å follow each position.
Fractional coordinates of all 16 atoms:
Tl 0.0889 0.9111 0.0000  12 Tl 3.43-3.68
Tl 0.5865 0.4135 0.0000  12 Tl 3.46-3.68
Tl 0.0992 0.4056 0.5000  2 Ga 3.35-3.63, 8 Tl 3.40-3.72, 2 Sn 3.41-3.57
Tl 0.0840 0.4178 0.0000  12 Tl 3.43-3.70
Tl 0.5944 0.9008 0.5000  2 Ga 3.35-3.63, 8 Tl 3.40-3.72, 2 Sn 3.41-3.57
Tl 0.5822 0.9160 0.0000  12 Tl 3.43-3.70
Tl 0.4166 0.0957 0.7341  1 Ga 3.28, 1 Sn 3.32, 9 Tl 3.41-3.60
Tl 0.4166 0.0957 0.2659  1 Ga 3.28, 1 Sn 3.32, 9 Tl 3.41-3.60
Tl 0.9043 0.5834 0.7341  1 Ga 3.28, 1 Sn 3.32, 9 Tl 3.41-3.60
Tl 0.9043 0.5834 0.2659  1 Ga 3.28, 1 Sn 3.32, 9 Tl 3.41-3.60
Tl 0.4119 0.5881 0.7495  11 Tl 3.40-3.68, 1 Ga 3.44
Tl 0.4119 0.5881 0.2505  11 Tl 3.40-3.68, 1 Ga 3.44
Tl 0.9135 0.0865 0.7496  11 Tl 3.42-3.68, 1 Sn 3.45
Tl 0.9135 0.0865 0.2504  11 Tl 3.42-3.68, 1 Sn 3.45
Ga 0.5841 0.4159 0.5000  10 Tl 3.28-3.63
Sn 0.0880 0.9120 0.5000  10 Tl 3.32-3.57, 2 Ga 3.68

Calculated values
- Energy: -2.485 eV/atom


VASP calculation (PBE) on crystalline Tl6GaSn2 at its relaxed geometry.

a = 6.4257 Å, b = 9.2203 Å, c = 9.2203 Å
α = 98.24°, β = 94.69°, γ = 94.69°
Closest atoms and distances in Å follow each position.
Fractional coordinates of all 18 atoms:
Tl 0.5055 0.3187 0.7379  1 Ga 3.22, 6 Tl 3.27-3.59, 2 Sn 3.35
Tl 0.9945 0.2621 0.6813  1 Ga 3.22, 6 Tl 3.27-3.59, 2 Sn 3.35
Tl 0.4945 0.6813 0.2621  1 Ga 3.22, 6 Tl 3.27-3.59, 2 Sn 3.35
Tl 0.0055 0.7379 0.3187  1 Ga 3.22, 6 Tl 3.27-3.59, 2 Sn 3.35
Tl 0.7097 0.9282 0.5794  1 Ga 3.16, 2 Sn 3.30-3.40, 3 Tl 3.41-3.54
Tl 0.7903 0.4206 0.0718  1 Ga 3.16, 2 Sn 3.30-3.40, 3 Tl 3.41-3.54
Tl 0.2903 0.0718 0.4206  1 Ga 3.16, 2 Sn 3.30-3.40, 3 Tl 3.41-3.54
Tl 0.2097 0.5794 0.9282  1 Ga 3.16, 2 Sn 3.30-3.40, 3 Tl 3.41-3.54
Tl 0.2743 0.2409 0.0631  1 Ga 3.11, 1 Sn 3.33
Tl 0.2257 0.9369 0.7591  1 Ga 3.11, 1 Sn 3.33
Tl 0.7257 0.7591 0.9369  1 Ga 3.11, 1 Sn 3.33
Tl 0.7743 0.0631 0.2409  1 Ga 3.11, 1 Sn 3.33
Ga 0.2500 0.9078 0.0922  6 Tl 3.11-3.22
Ga 0.7500 0.0922 0.9078  6 Tl 3.11-3.22
Sn 0.0935 0.3947 0.3714  4 Sn 3.22-3.26, 6 Tl 3.30-3.54
Sn 0.4065 0.6286 0.6053  4 Sn 3.22-3.26, 6 Tl 3.30-3.54
Sn 0.9065 0.6053 0.6286  4 Sn 3.22-3.26, 6 Tl 3.30-3.54
Sn 0.5935 0.3714 0.3947  4 Sn 3.22-3.26, 6 Tl 3.30-3.54

Calculated values
- Energy: -2.748 eV/atom


VASP calculation (PBE) on crystalline TlGa2Sn2 at its relaxed geometry.

a = 4.8802 Å, b = 4.8802 Å, c = 6.5500 Å
α = 68.13°, β = 68.13°, γ = 90.00°
Closest atoms and distances in Å follow each position.
Fractional coordinates of all 5 atoms:
Tl 0.0000 0.0000 0.0000  8 Ga 3.67, 8 Sn 3.70
Sn 0.7500 0.2500 0.5000  4 Ga 2.88
Sn 0.2500 0.7500 0.5000  4 Ga 2.88
Ga 0.3880 0.3880 0.2241  1 Ga 2.50
Ga 0.6120 0.6120 0.7759  1 Ga 2.50

Calculated values
- Energy relative to the lowest polymorph listed for this composition: 0 meV/atom
- Energy: -3.260 eV/atom


VASP calculation (PBE) on crystalline TlGaSn at its relaxed geometry.

a = 4.1672 Å, b = 4.1664 Å, c = 9.4441 Å
α = 89.95°, β = 89.99°, γ = 89.89°
Closest atoms and distances in Å follow each position.
Fractional coordinates of all 6 atoms:
Tl 0.8146 0.8666 0.5270  5 Sn 3.39-3.71, 4 Tl 3.57-3.58
Tl 0.3126 0.3666 0.3125  5 Sn 3.39-3.70, 4 Tl 3.57-3.58
Ga 0.8141 0.3664 0.9195  4 Sn 2.91, 4 Ga 2.94-2.95
Ga 0.3129 0.8659 0.9195  4 Sn 2.91, 4 Ga 2.94-2.95
Sn 0.8122 0.8667 0.1343  4 Ga 2.91
Sn 0.3151 0.3667 0.7048  4 Ga 2.91

Calculated values
- Energy relative to the lowest polymorph listed for this composition: 24 meV/atom
- Energy: -3.095 eV/atom


VASP calculation (PBE) on crystalline Tl3Ga12Sn5 at its relaxed geometry.

a = 14.1894 Å, b = 14.1894 Å, c = 14.1894 Å
α = 109.47°, β = 109.47°, γ = 109.47°
Closest atoms and distances in Å follow each position.
Fractional coordinates of all 80 atoms:
Tl 0.7500 0.3750 0.1250  8 Ga 2.83-3.10
Tl 0.8750 0.7500 0.1250  8 Ga 2.83-3.10
Tl 0.3750 0.7500 0.6250  8 Ga 2.83-3.10
Tl 0.2500 0.1250 0.3750  8 Ga 2.83-3.10
Tl 0.8750 0.1250 0.2500  8 Ga 2.83-3.10
Tl 0.3750 0.6250 0.2500  8 Ga 2.83-3.10
Tl 0.6250 0.3750 0.7500  8 Ga 2.83-3.10
Tl 0.1250 0.8750 0.7500  8 Ga 2.83-3.10
Tl 0.7500 0.8750 0.6250  8 Ga 2.83-3.10
Tl 0.6250 0.2500 0.3750  8 Ga 2.83-3.10
Tl 0.1250 0.2500 0.8750  8 Ga 2.83-3.10
Tl 0.2500 0.6250 0.8750  8 Ga 2.83-3.10
Sn 0.1250 0.3750 0.2500  4 Ga 2.73
Sn 0.0000 0.5000 0.0000  6 Ga 2.83
Sn 0.0000 0.0000 0.0000  6 Ga 2.83
Sn 0.3750 0.2500 0.1250  4 Ga 2.73
Sn 0.5000 0.0000 0.5000  6 Ga 2.83
Sn 0.5000 0.5000 0.0000  6 Ga 2.83
Sn 0.1250 0.7500 0.3750  4 Ga 2.73
Sn 0.7500 0.1250 0.8750  4 Ga 2.73
Sn 0.7500 0.6250 0.3750  4 Ga 2.73
Sn 0.3750 0.1250 0.7500  4 Ga 2.73
Sn 0.6250 0.8750 0.2500  4 Ga 2.73
Sn 0.5000 0.5000 0.5000  6 Ga 2.83
Sn 0.5000 0.0000 0.0000  6 Ga 2.83
Sn 0.0000 0.0000 0.5000  6 Ga 2.83
Sn 0.2500 0.3750 0.6250  4 Ga 2.73
Sn 0.2500 0.8750 0.1250  4 Ga 2.73
Sn 0.0000 0.5000 0.5000  6 Ga 2.83
Sn 0.8750 0.2500 0.6250  4 Ga 2.73
Sn 0.6250 0.7500 0.8750  4 Ga 2.73
Sn 0.8750 0.6250 0.7500  4 Ga 2.73
Ga 0.7324 0.1363 0.0640  2 Sn 2.73-2.83, 1 Tl 2.83, 1 Ga 3.02
Ga 0.3317 0.5640 0.4278  2 Sn 2.73-2.83, 1 Tl 2.83, 1 Ga 3.02
Ga 0.9360 0.3637 0.2676  2 Sn 2.73-2.83, 1 Tl 2.83, 1 Ga 3.02
Ga 0.5640 0.2324 0.1363  2 Sn 2.73-2.83, 1 Tl 2.83, 1 Ga 3.02
Ga 0.5961 0.7324 0.6683  2 Sn 2.73-2.83, 1 Tl 2.83, 1 Ga 3.02
Ga 0.9360 0.5722 0.1683  2 Sn 2.73-2.83, 1 Tl 2.83, 1 Ga 3.02
Ga 0.3317 0.7676 0.4039  2 Sn 2.73-2.83, 1 Tl 2.83, 1 Ga 3.02
Ga 0.0722 0.9039 0.1363  2 Sn 2.73-2.83, 1 Tl 2.83, 1 Ga 3.02
Ga 0.5722 0.9360 0.6683  2 Sn 2.73-2.83, 1 Tl 2.83, 1 Ga 3.02
Ga 0.7324 0.5961 0.1683  2 Sn 2.73-2.83, 1 Tl 2.83, 1 Ga 3.02
Ga 0.7676 0.4360 0.3637  2 Sn 2.73-2.83, 1 Tl 2.83, 1 Ga 3.02
Ga 0.8317 0.9278 0.0640  2 Sn 2.73-2.83, 1 Tl 2.83, 1 Ga 3.02
Ga 0.1363 0.7324 0.5640  2 Sn 2.73-2.83, 1 Tl 2.83, 1 Ga 3.02
Ga 0.3637 0.4278 0.0961  2 Sn 2.73-2.83, 1 Tl 2.83, 1 Ga 3.02
Ga 0.0961 0.9278 0.3637  2 Sn 2.73-2.83, 1 Tl 2.83, 1 Ga 3.02
Ga 0.4039 0.1363 0.5722  2 Sn 2.73-2.83, 1 Tl 2.83, 1 Ga 3.02
Ga 0.0961 0.1683 0.2324  2 Sn 2.73-2.83, 1 Tl 2.83, 1 Ga 3.02
Ga 0.4360 0.6683 0.0722  2 Sn 2.73-2.83, 1 Tl 2.83, 1 Ga 3.02
Ga 0.8317 0.9039 0.2676  2 Sn 2.73-2.83, 1 Tl 2.83, 1 Ga 3.02
Ga 0.1363 0.4039 0.0722  2 Sn 2.73-2.83, 1 Tl 2.83, 1 Ga 3.02
Ga 0.3637 0.9360 0.7676  2 Sn 2.73-2.83, 1 Tl 2.83, 1 Ga 3.02
Ga 0.5722 0.6363 0.4039  2 Sn 2.73-2.83, 1 Tl 2.83, 1 Ga 3.02
Ga 0.9278 0.8317 0.5640  2 Sn 2.73-2.83, 1 Tl 2.83, 1 Ga 3.02
Ga 0.7676 0.3317 0.9039  2 Sn 2.73-2.83, 1 Tl 2.83, 1 Ga 3.02
Ga 0.4278 0.3637 0.5961  2 Sn 2.73-2.83, 1 Tl 2.83, 1 Ga 3.02
Ga 0.0722 0.1683 0.4360  2 Sn 2.73-2.83, 1 Tl 2.83, 1 Ga 3.02
Ga 0.2324 0.6683 0.0961  2 Sn 2.73-2.83, 1 Tl 2.83, 1 Ga 3.02
Ga 0.1683 0.0961 0.7324  2 Sn 2.73-2.83, 1 Tl 2.83, 1 Ga 3.02
Ga 0.6363 0.0640 0.2324  2 Sn 2.73-2.83, 1 Tl 2.83, 1 Ga 3.02
Ga 0.8637 0.5961 0.9278  2 Sn 2.73-2.83, 1 Tl 2.83, 1 Ga 3.02
Ga 0.5640 0.3317 0.9278  2 Sn 2.73-2.83, 1 Tl 2.83, 1 Ga 3.02
Ga 0.5961 0.8637 0.4278  2 Sn 2.73-2.83, 1 Tl 2.83, 1 Ga 3.02
Ga 0.9039 0.8317 0.7676  2 Sn 2.73-2.83, 1 Tl 2.83, 1 Ga 3.02
Ga 0.9039 0.0722 0.6363  2 Sn 2.73-2.83, 1 Tl 2.83, 1 Ga 3.02
Ga 0.8637 0.2676 0.4360  2 Sn 2.73-2.83, 1 Tl 2.83, 1 Ga 3.02
Ga 0.1683 0.0722 0.9360  2 Sn 2.73-2.83, 1 Tl 2.83, 1 Ga 3.02
Ga 0.6363 0.5722 0.9039  2 Sn 2.73-2.83, 1 Tl 2.83, 1 Ga 3.02
Ga 0.4278 0.0640 0.3317  2 Sn 2.73-2.83, 1 Tl 2.83, 1 Ga 3.02
Ga 0.2676 0.4039 0.8317  2 Sn 2.73-2.83, 1 Tl 2.83, 1 Ga 3.02
Ga 0.2324 0.5640 0.6363  2 Sn 2.73-2.83, 1 Tl 2.83, 1 Ga 3.02
Ga 0.9278 0.0961 0.8637  2 Sn 2.73-2.83, 1 Tl 2.83, 1 Ga 3.02
Ga 0.6683 0.2324 0.5961  2 Sn 2.73-2.83, 1 Tl 2.83, 1 Ga 3.02
Ga 0.4360 0.7676 0.8637  2 Sn 2.73-2.83, 1 Tl 2.83, 1 Ga 3.02
Ga 0.0640 0.4278 0.8317  2 Sn 2.73-2.83, 1 Tl 2.83, 1 Ga 3.02
Ga 0.4039 0.2676 0.3317  2 Sn 2.73-2.83, 1 Tl 2.83, 1 Ga 3.02
Ga 0.0640 0.6363 0.7324  2 Sn 2.73-2.83, 1 Tl 2.83, 1 Ga 3.02
Ga 0.6683 0.4360 0.5722  2 Sn 2.73-2.83, 1 Tl 2.83, 1 Ga 3.02
Ga 0.2676 0.8637 0.9360  2 Sn 2.73-2.83, 1 Tl 2.83, 1 Ga 3.02

Calculated values
- Energy: -2.962 eV/atom


Number 1: energy relative to the elements 313 meV per atom. Number 2: energy relative to the elements 24 meV per atom. Number 3: energy relative to the elements 55 meV per atom. Number 4: energy relative to the elements 25 meV per atom. Number 5: energy relative to the elements 36 meV per atom. Number 6: energy relative to the elements 210 meV per atom.